[1]
Entry from Alexandria: a relaxed SbTeP crystal (PBEsol).

The structure belongs to space group Fmm2 (No. 42); the cell edges are 3.655, 5.259 and 14.558 Å and the angles 90.00°, 90.00° and 90.00°. The asymmetric unit holds Sb at (0.000, 0.000, 0.000), Te at (0.000, 0.000, 0.293) and P at (0.000, 0.000, 0.631).

The spin magnetization is 0.000 μB per atom. The density of states at the Fermi level comes out at 7.36 states/eV per cell. For the raw formation energy, the calculation gives 1.17 eV per formula unit.

[2]
Entry from Alexandria: a relaxed Sb2TeP crystal (PBEsol).

The structure belongs to space group P4mm (No. 99); the cell edges are 4.217, 4.217 and 6.095 Å and the angles 90.00°, 90.00° and 90.00°. The asymmetric unit holds Sb at (0.000, 0.000, 0.000), Sb at (0.500, 0.500, 0.436), Te at (0.000, 0.000, 0.501) and P at (0.500, 0.500, 0.015).

The spin magnetization is 0.000 μB per atom. The density of states at the Fermi level comes out at 2.46 states/eV per cell. For the raw formation energy, the calculation gives 0.63 eV per formula unit.

[3]
Entry from Alexandria: a relaxed Sb2TeP2 crystal (PBEsol).

The structure belongs to space group P4/mbm (No. 127); the cell edges are 7.874, 7.874 and 3.644 Å and the angles 90.00°, 90.00° and 90.00°. The asymmetric unit holds Sb at (0.156, 0.344, 0.000), Te at (0.000, 0.000, 0.500) and P at (0.176, 0.676, 0.500).

The spin magnetization is 0.000 μB per atom. The density of states at the Fermi level comes out at 5.77 states/eV per cell. For the raw formation energy, the calculation gives 1.56 eV per formula unit.

[4]
Entry from Alexandria: a relaxed TlSb2TeP crystal (PBEsol).

The structure belongs to space group P4/mmm (No. 123); the cell edges are 5.252, 5.252 and 5.197 Å and the angles 90.00°, 90.00° and 90.00°. The asymmetric unit holds Tl at (0.000, 0.000, 0.000), Sb at (0.000, 0.500, 0.500), Te at (0.500, 0.500, 0.000) and P at (0.500, 0.500, 0.500).

The spin magnetization is 0.000 μB per atom. The density of states at the Fermi level comes out at 4.91 states/eV per cell. For the raw formation energy, the calculation gives 1.86 eV per formula unit.

[5]
Entry from Alexandria: a relaxed ZrSb2TeP crystal (PBEsol).

The structure belongs to space group P4/mmm (No. 123); the cell edges are 5.485, 5.485 and 5.375 Å and the angles 90.00°, 90.00° and 90.00°. The asymmetric unit holds Zr at (0.000, 0.000, 0.000), Sb at (0.000, 0.500, 0.000), Te at (0.000, 0.000, 0.500) and P at (0.500, 0.500, 0.500).

The spin magnetization is 0.338 μB per atom. The density of states at the Fermi level comes out at 3.89 states/eV per cell. For the raw formation energy, the calculation gives 3.49 eV per formula unit.

[6]
Entry from Alexandria: a relaxed Ti3SbP crystal (PBEsol).

The structure belongs to space group Pm-3m (No. 221); the cell edges are 4.966, 4.966 and 4.966 Å and the angles 90.00°, 90.00° and 90.00°. The asymmetric unit holds Ti at (0.000, 0.000, 0.500), Sb at (0.000, 0.000, 0.000) and P at (0.500, 0.500, 0.500).

The spin magnetization is 0.942 μB per atom. The density of states at the Fermi level comes out at 6.74 states/eV per cell. For the raw formation energy, the calculation gives 5.14 eV per formula unit.

[7]
Entry from Alexandria: a relaxed Ti2SbP2 crystal (PBEsol).

The structure belongs to space group P4/mbm (No. 127); the cell edges are 7.131, 7.131 and 3.188 Å and the angles 90.00°, 90.00° and 90.00°. The asymmetric unit holds Ti at (0.149, 0.351, 0.000), Sb at (0.000, 0.000, 0.000) and P at (0.134, 0.634, 0.500).

The spin magnetization is 0.000 μB per atom. The density of states at the Fermi level comes out at 4.80 states/eV per cell. For the raw formation energy, the calculation gives -3.49 eV per formula unit.

[8]
Entry from Alexandria: a relaxed Ti2SbP2 crystal (PBEsol).

The structure belongs to space group I4/mmm (No. 139); the cell edges are 3.494, 3.494 and 13.220 Å and the angles 90.00°, 90.00° and 90.00°. The asymmetric unit holds Ti at (0.000, 0.000, 0.114), Sb at (0.000, 0.000, 0.500) and P at (0.000, 0.500, 0.250).

The spin magnetization is 0.000 μB per atom. The density of states at the Fermi level comes out at 6.23 states/eV per cell. For the raw formation energy, the calculation gives -3.69 eV per formula unit.

[9]
Entry from Alexandria: a relaxed Ti2SbP crystal (PBEsol).

The structure belongs to space group I-42d (No. 122); the cell edges are 5.820, 5.820 and 11.546 Å and the angles 90.00°, 90.00° and 90.00°. The asymmetric unit holds Ti at (0.202, 0.250, 0.125), Sb at (0.000, 0.000, 0.500) and P at (0.000, 0.000, 0.000).

The spin magnetization is 0.001 μB per atom. The density of states at the Fermi level comes out at 17.16 states/eV per cell. For the raw formation energy, the calculation gives -0.28 eV per formula unit.

[10]
Entry from Alexandria: a relaxed Ti2SbP crystal (PBEsol).

The structure belongs to space group P6_3/mmc (No. 194); the cell edges are 3.5933, 3.5933 and 12.4804 Å and the angles 90.00°, 90.00° and 120.00°. The asymmetric unit holds Ti at (0.3333, 0.6667, 0.1005), Sb at (0.3333, 0.6667, 0.7500) and P at (0.0000, 0.0000, 0.0000).

The spin magnetization is 0.000 μB per atom. The density of states at the Fermi level comes out at 2.88 states/eV per cell. For the raw formation energy, the calculation gives -3.89 eV per formula unit.

[11]
Entry from Alexandria: a relaxed TlSbP2 crystal (PBEsol).

The structure belongs to space group P4/mmm (No. 123); the cell edges are 4.930, 4.930 and 3.353 Å and the angles 90.00°, 90.00° and 90.00°. The asymmetric unit holds Tl at (0.000, 0.000, 0.000), Sb at (0.500, 0.500, 0.000) and P at (0.000, 0.500, 0.500).

The spin magnetization is 0.000 μB per atom. The density of states at the Fermi level comes out at 2.64 states/eV per cell. For the raw formation energy, the calculation gives 1.95 eV per formula unit.

[12]
Entry from Alexandria: a relaxed TlSbP2 crystal (PBEsol).

The structure belongs to space group R-3m (No. 166, hexagonal axes); the cell edges are 3.8937, 3.8937 and 19.8330 Å and the angles 90.00°, 90.00° and 120.00°. The asymmetric unit holds Tl at (0.0000, 0.0000, 0.0000), Sb at (0.0000, 0.0000, 0.5000) and P at (0.0000, 0.0000, 0.2444).

The spin magnetization is 0.000 μB per atom. The density of states at the Fermi level comes out at 3.84 states/eV per cell. For the raw formation energy, the calculation gives 0.63 eV per formula unit.